# NaSrBr2, relaxed, DFT PBE
# ΔE_f (raw) ... -1.289 eV/atom
# Total magnetic moment ... 0.00 μB per cell
# D(E_F) ... 3.20 states/eV/f.u.
# Crystal system ... cubic
data_NaSrBr2
_symmetry_space_group_name_H-M 'F m -3 m'
_symmetry_Int_Tables_number 225
_symmetry_space_group_name_Hall '-F 4 2 3'
_cell_length_a 7.858
_cell_length_b 7.858
_cell_length_c 7.858
_cell_angle_alpha 90.00
_cell_angle_beta 90.00
_cell_angle_gamma 90.00
loop_
_atom_site_label
_atom_site_fract_x
_atom_site_fract_y
_atom_site_fract_z
Na1 0.000 0.000 0.000
Sr1 0.000 0.000 0.500
Br1 0.250 0.250 0.250